# 1
An optimized crystal structure of Li3SiSe4. Source: Alexandria, functional PBE-GGA.

Geometry as POSCAR:
```
Li3SiSe4
1.0
6.284 0.000 0.000
0.000 6.284 0.000
0.000 0.000 6.284
Se Li Si
4 3 1
Direct
0.790 0.210 0.790
0.210 0.790 0.790
0.790 0.790 0.210
0.210 0.210 0.210
0.500 0.000 0.000
0.000 0.500 0.000
0.000 0.000 0.500
0.000 0.000 0.000
```

Properties
Symmetry: P-43m, No. 215
Crystal system: cubic
M_tot, μB per formula unit: 0.83
Formation energy (no corrections), eV/atom: -0.79
DOS at the Fermi energy, states/eV/f.u.: 10.552
Total energy, eV per atom: -3.929

# 2
An optimized crystal structure of Li3SiSe4. Source: Alexandria, functional PBE-GGA.

Geometry as POSCAR:
```
Li3SiSe4
1.0
5.938 0.000 0.000
0.000 7.368 0.000
0.000 0.000 8.561
Se Li Si
8 6 2
Direct
0.594 0.674 0.276
0.101 0.812 0.500
0.597 0.118 0.500
0.601 0.188 0.000
0.094 0.326 0.224
0.097 0.882 0.000
0.594 0.674 0.724
0.094 0.326 0.776
0.547 0.326 0.266
0.051 0.154 0.500
0.551 0.846 0.000
0.047 0.674 0.766
0.047 0.674 0.234
0.547 0.326 0.734
0.484 0.821 0.500
0.984 0.179 0.000
```

Properties
Symmetry: Pmn2_1, No. 31
Crystal system: orthorhombic
M_tot, μB per formula unit: 0.00
Formation energy (no corrections), eV/atom: -0.80
DOS at the Fermi energy, states/eV/f.u.: 5.636
Total energy, eV per atom: -3.942

# 3
An optimized crystal structure of LiSiSe4. Source: Alexandria, functional PBE-GGA.

Geometry as POSCAR:
```
LiSiSe4
1.0
3.144 0.974 4.684
-2.533 1.689 4.848
-0.322 -3.577 4.458
Si Se Li
1 4 1
Direct
0.750 0.750 0.750
0.874 0.375 0.375
0.375 0.375 0.874
0.375 0.375 0.375
0.375 0.874 0.375
0.000 0.000 0.000
```

Properties
Symmetry: F-43m, No. 216
Crystal system: cubic
M_tot, μB per formula unit: 0.44
Formation energy (no corrections), eV/atom: 0.46
DOS at the Fermi energy, states/eV/f.u.: 4.007
Total energy, eV per atom: -3.087

# 4
An optimized crystal structure of Li2SiSe4. Source: Alexandria, functional PBE-GGA.

Geometry as POSCAR:
```
Li2SiSe4
1.0
-2.064 -0.239 -2.927
-5.079 -0.914 3.656
2.655 6.806 -0.226
Li Se Si
2 4 1
Direct
0.303 0.330 0.607
0.697 0.670 0.393
0.366 0.785 0.731
0.070 0.695 0.140
0.634 0.215 0.269
0.930 0.305 0.860
0.000 0.000 0.000
```

Properties
Symmetry: C2/m, No. 12
Crystal system: monoclinic
M_tot, μB per formula unit: 0.00
Formation energy (no corrections), eV/atom: -0.57
DOS at the Fermi energy, states/eV/f.u.: 1.055
Total energy, eV per atom: -3.883

# 5
An optimized crystal structure of LiSi2Se6. Source: Alexandria, functional PBE-GGA.

Geometry as POSCAR:
```
LiSi2Se6
1.0
-1.470 -5.254 -3.365
8.117 -3.896 -0.690
-1.949 -5.784 6.655
Se Si Li
12 4 2
Direct
0.503 0.445 0.880
0.518 0.717 0.560
0.664 0.952 0.844
0.836 0.156 0.048
0.482 0.283 0.440
0.336 0.048 0.156
0.164 0.844 0.952
0.018 0.560 0.717
0.997 0.120 0.555
0.003 0.880 0.445
0.982 0.440 0.283
0.497 0.555 0.120
0.301 0.655 0.780
0.199 0.220 0.345
0.801 0.780 0.655
0.699 0.345 0.220
0.750 0.888 0.112
0.250 0.112 0.888
```

Properties
Symmetry: C2/c, No. 15
Crystal system: monoclinic
M_tot, μB per formula unit: 0.00
Formation energy (no corrections), eV/atom: -0.37
DOS at the Fermi energy, states/eV/f.u.: 5.403
Total energy, eV per atom: -4.110

# 6
An optimized crystal structure of Li2SiSe4. Source: Alexandria, functional PBE-GGA.

Geometry as POSCAR:
```
Li2SiSe4
1.0
5.031 0.000 0.000
0.000 5.031 0.000
2.516 2.516 6.414
Se Si Li
4 1 2
Direct
0.000 0.500 0.000
0.178 0.178 0.644
0.500 0.000 0.000
0.822 0.822 0.356
0.000 0.000 0.000
0.611 0.611 0.779
0.389 0.389 0.221
```

Properties
Symmetry: I4/mmm, No. 139
Crystal system: tetragonal
M_tot, μB per formula unit: 0.00
Formation energy (no corrections), eV/atom: -0.27
DOS at the Fermi energy, states/eV/f.u.: 4.004
Total energy, eV per atom: -3.584